# Tb3Si6Pt2Rh

Crystalline Tb3Si6Pt2Rh at its relaxed geometry (PBE, the Alexandria database).

The total energy comes out at -0.2236 hartree per atom. For the formation energy from raw total energies, the calculation gives -0.596 eV/atom. The value obtained for the total moment is 0.0 μB per formula unit.

a b c (Å): 5.2457 5.2457 9.3950
angles (deg): 90.00 90.00 120.00
Space group P-3m1 (No. 164)
One atom of each set of equivalent atoms:
Tb: 0.0000 0.0000 0.0000
Tb: 0.3333 0.6667 0.5768
Si: 0.1639 0.3277 0.2826
Pt: 0.3333 0.6667 0.0780
Rh: 0.0000 0.0000 0.5000